Entry 1:
## Tl3Fe5I12 (PBE)

Data for crystalline Tl3Fe5I12 at its relaxed geometry.

The structure in CIF format:
```
data_Tl3Fe5I12
_chemical_formula_sum 'Tl24 Fe40 I96'
_space_group_name_H-M_alt 'I a -3 d'
_space_group_IT_number 230
_space_group_name_Hall '-I 4bd 2c 3'
_cell_length_a 18.049
_cell_length_b 18.049
_cell_length_c 18.049
_cell_angle_alpha 90.00
_cell_angle_beta 90.00
_cell_angle_gamma 90.00
loop_
_atom_site_label
_atom_site_fract_x
_atom_site_fract_y
_atom_site_fract_z
Tl1 0.000 0.250 0.125
Fe1 0.000 0.000 0.000
Fe2 0.000 0.250 0.375
I1 0.035 0.051 0.646
```

Summary:
Uncorrected energy = -3.5817 eV/atom
Total magnetization = 19.00 μB per formula unit
Fermi-level density of states = 195.4 states/eV per cell



Entry 2:
## BaHg2Pb4 (PBE)

Data for crystalline BaHg2Pb4 at its relaxed geometry.

The structure in CIF format:
```
data_BaHg2Pb4
_chemical_formula_sum 'Ba2 Hg4 Pb8'
_space_group_name_H-M_alt 'C m m m'
_space_group_IT_number 65
_space_group_name_Hall '-C 2 2'
_cell_length_a 5.261
_cell_length_b 18.621
_cell_length_c 4.720
_cell_angle_alpha 90.00
_cell_angle_beta 90.00
_cell_angle_gamma 90.00
loop_
_atom_site_label
_atom_site_fract_x
_atom_site_fract_y
_atom_site_fract_z
Ba1 0.000 0.000 0.000
Hg1 0.000 0.423 0.500
Pb1 0.000 0.179 0.500
Pb2 0.000 0.309 0.000
```

Summary:
Total magnetization = 0.00 μB per formula unit
Formation enthalpy at 0 K = -189 meV per atom
Fermi-level density of states = 8.6 states/eV per cell



Entry 3:
## La2SiAu (PBE)

Data for crystalline La2SiAu at its relaxed geometry.

The structure in CIF format:
```
data_La2SiAu
_chemical_formula_sum 'La8 Si4 Au4'
_space_group_name_H-M_alt 'F -4 3 m'
_space_group_IT_number 216
_space_group_name_Hall 'F -4 2 3'
_cell_length_a 7.290
_cell_length_b 7.290
_cell_length_c 7.290
_cell_angle_alpha 90.00
_cell_angle_beta 90.00
_cell_angle_gamma 90.00
loop_
_atom_site_label
_atom_site_fract_x
_atom_site_fract_y
_atom_site_fract_z
La1 0.000 0.000 0.000
La2 0.250 0.250 0.250
Si1 0.000 0.000 0.500
Au1 0.250 0.250 0.750
```

Summary:
Uncorrected energy = -4.7805 eV/atom
Total magnetization = 0.00 μB per formula unit
Fermi-level density of states = 22.9 states/eV per cell



Entry 4:
## MnMo2 (PBE)

Data for crystalline MnMo2 at its relaxed geometry.

The structure in CIF format:
```
data_MnMo2
_chemical_formula_sum 'Mn4 Mo8'
_space_group_name_H-M_alt 'I 41/a m d'
_space_group_IT_number 141
_cell_length_a 2.728
_cell_length_b 2.728
_cell_length_c 23.677
_cell_angle_alpha 90.00
_cell_angle_beta 90.00
_cell_angle_gamma 90.00
loop_
_space_group_symop_operation_xyz
'x,y,z'
'-x,-y,-z'
'-y+1/4,x+3/4,z+1/4'
'y+1/4,-x+3/4,-z+1/4'
'-x+1/2,-y,z+1/2'
'x+1/2,y,-z+1/2'
'y+1/4,-x+1/4,z+3/4'
'-y+1/4,x+1/4,-z+3/4'
'x,-y,-z'
'-x,y,z'
'-y+1/4,-x+1/4,-z+3/4'
'y+1/4,x+1/4,z+3/4'
'-x+1/2,y,-z+1/2'
'x+1/2,-y,z+1/2'
'y+1/4,x+3/4,-z+1/4'
'-y+1/4,-x+3/4,z+1/4'
'x+1/2,y+1/2,z+1/2'
'-x+1/2,-y+1/2,-z+1/2'
'-y+3/4,x+1/4,z+3/4'
'y+3/4,-x+1/4,-z+3/4'
'-x,-y+1/2,z'
'x,y+1/2,-z'
'y+3/4,-x+3/4,z+1/4'
'-y+3/4,x+3/4,-z+1/4'
'x+1/2,-y+1/2,-z+1/2'
'-x+1/2,y+1/2,z+1/2'
'-y+3/4,-x+3/4,-z+1/4'
'y+3/4,x+3/4,z+1/4'
'-x,y+1/2,-z'
'x,-y+1/2,z'
'y+3/4,x+1/4,-z+3/4'
'-y+3/4,-x+1/4,z+3/4'
loop_
_atom_site_label
_atom_site_fract_x
_atom_site_fract_y
_atom_site_fract_z
Mn1 0.000 0.250 0.375
Mo1 0.000 0.250 0.802
```

Summary:
Total magnetization = 0.00 μB per formula unit
Formation enthalpy at 0 K = 405 meV per atom
Fermi-level density of states = 18.0 states/eV per cell



Entry 5:
## Ta2VRh7 (PBE)

Data for crystalline Ta2VRh7 at its relaxed geometry.

The structure in CIF format:
```
data_Ta2VRh7
_chemical_formula_sum 'Ta4 V2 Rh14'
_space_group_name_H-M_alt 'C m m m'
_space_group_IT_number 65
_space_group_name_Hall '-C 2 2'
_cell_length_a 8.005
_cell_length_b 15.137
_cell_length_c 2.790
_cell_angle_alpha 90.00
_cell_angle_beta 90.00
_cell_angle_gamma 90.00
loop_
_atom_site_label
_atom_site_fract_x
_atom_site_fract_y
_atom_site_fract_z
Ta1 0.000 0.170 0.000
V1 0.000 0.500 0.500
Rh1 0.000 0.000 0.000
Rh2 0.000 0.313 0.500
Rh3 0.215 0.408 0.000
```

Summary:
Total magnetization = 0.00 μB per formula unit
Formation enthalpy at 0 K = 195 meV per atom
Fermi-level density of states = 30.1 states/eV per cell



Entry 6:
## Li2RhICl (PBE)

Data for crystalline Li2RhICl at its relaxed geometry.

The structure in CIF format:
```
data_Li2RhICl
_chemical_formula_sum 'Li2 Rh1 I1 Cl1'
_space_group_name_H-M_alt 'P 4/m m m'
_space_group_IT_number 123
_space_group_name_Hall '-P 4 2'
_cell_length_a 5.231
_cell_length_b 5.231
_cell_length_c 4.821
_cell_angle_alpha 90.00
_cell_angle_beta 90.00
_cell_angle_gamma 90.00
loop_
_atom_site_label
_atom_site_fract_x
_atom_site_fract_y
_atom_site_fract_z
Li1 0.000 0.500 0.000
Rh1 0.000 0.000 0.000
I1 0.000 0.000 0.500
Cl1 0.500 0.500 0.500
```

Summary:
Uncorrected energy = -3.2379 eV/atom
Total magnetization = 0.00 μB per formula unit
Fermi-level density of states = 2.4 states/eV per cell